# GGA+U Rb2SrMnO4, relaxed
data_Rb2SrMnO4
_cell_length_a 6.182
_cell_length_b 12.461
_cell_length_c 24.227
_cell_angle_alpha 90.00
_cell_angle_beta 90.00
_cell_angle_gamma 90.00
_space_group_name_H-M_alt 'F d d d'
_space_group_IT_number 70
loop_
_space_group_symop_operation_xyz
'x,y,z'
'-x,-y,-z'
'-x+1/4,-y+1/4,z'
'x+1/4,y+1/4,-z'
'x,-y+1/4,-z+1/4'
'-x,y+1/4,z+1/4'
'-x+1/4,y,-z+1/4'
'x+1/4,-y,z+1/4'
'x,y+1/2,z+1/2'
'-x,-y+1/2,-z+1/2'
'-x+1/4,-y+3/4,z+1/2'
'x+1/4,y+3/4,-z+1/2'
'x,-y+3/4,-z+3/4'
'-x,y+3/4,z+3/4'
'-x+1/4,y+1/2,-z+3/4'
'x+1/4,-y+1/2,z+3/4'
'x+1/2,y,z+1/2'
'-x+1/2,-y,-z+1/2'
'-x+3/4,-y+1/4,z+1/2'
'x+3/4,y+1/4,-z+1/2'
'x+1/2,-y+1/4,-z+3/4'
'-x+1/2,y+1/4,z+3/4'
'-x+3/4,y,-z+3/4'
'x+3/4,-y,z+3/4'
'x+1/2,y+1/2,z'
'-x+1/2,-y+1/2,-z'
'-x+3/4,-y+3/4,z'
'x+3/4,y+3/4,-z'
'x+1/2,-y+3/4,-z+1/4'
'-x+1/2,y+3/4,z+1/4'
'-x+3/4,y+1/2,-z+1/4'
'x+3/4,-y+1/2,z+1/4'
loop_
_atom_site_label
_atom_site_fract_x
_atom_site_fract_y
_atom_site_fract_z
Rb1 0.125 0.125 0.324
Sr1 0.125 0.125 0.125
Mn1 0.125 0.125 0.625
O1 0.069 0.286 0.841
# - Spin magnetization: 24.00 Bohr magnetons per cell
# - DFT total energy: -42.4 eV per formula unit